No. 1
! VOs4Ru, relaxed, DFT PBE-GGA; values from VASP
! - Energy of formation: 0.057 eV per atom
! - Space-group type: C2/c
! - Magnetization: 0.00 μB per formula unit
&SYSTEM
  ibrav = 0, nat = 12, ntyp = 3
/
ATOMIC_SPECIES
V 50.94 V.upf
Os 190.23 Os.upf
Ru 101.07 Ru.upf
CELL_PARAMETERS angstrom
4.0756 -5.0044 0.0000
4.0756 5.0044 0.0000
-2.6508 0.0000 4.2144
ATOMIC_POSITIONS crystal
V 0.1778 0.8222 0.7500
V 0.8222 0.1778 0.2500
Os 0.1399 0.5142 0.2573
Os 0.2706 0.4184 0.7743
Os 0.4184 0.2706 0.2743
Os 0.4858 0.8601 0.2427
Os 0.5142 0.1399 0.7573
Os 0.5816 0.7294 0.7257
Os 0.7294 0.5816 0.2257
Os 0.8601 0.4858 0.7427
Ru 0.0816 0.9184 0.2500
Ru 0.9184 0.0816 0.7500

No. 2
! Ba2TaNbN5, relaxed, DFT PBE-GGA; values from VASP
! - Space-group type: Cmc2_1
! - E_form (uncorrected): -17.40 kcal/mol of atoms
! - Magnetization: 1.02 μB per formula unit
&SYSTEM
  ibrav = 0, nat = 18, ntyp = 4
/
ATOMIC_SPECIES
Ba 137.33 Ba.upf
Ta 180.95 Ta.upf
Nb 92.91 Nb.upf
N 14.01 N.upf
CELL_PARAMETERS angstrom
1.7237 -8.3025 0.0000
1.7237 8.3025 0.0000
0.0000 0.0000 11.0723
ATOMIC_POSITIONS crystal
Ba 0.1110 0.8890 0.5000
Ba 0.1153 0.8847 0.1266
Ba 0.8847 0.1153 0.6266
Ba 0.8890 0.1110 0.0000
Ta 0.2253 0.7747 0.8398
Ta 0.7747 0.2253 0.3398
Nb 0.4399 0.5601 0.2876
Nb 0.5601 0.4399 0.7876
N 0.0347 0.9653 0.8705
N 0.2899 0.7101 0.4491
N 0.3213 0.6787 0.2318
N 0.3344 0.6656 0.8151
N 0.4882 0.5118 0.1360
N 0.5118 0.4882 0.6360
N 0.6656 0.3344 0.3151
N 0.6787 0.3213 0.7318
N 0.7101 0.2899 0.9491
N 0.9653 0.0347 0.3705

No. 3
! KFe2I2, relaxed, DFT PBE-GGA; values from VASP
! - Space-group type: I4/mmm
! - E_form (uncorrected): 4.54 kcal/mol of atoms
! - Magnetization: 6.91 μB per formula unit
&SYSTEM
  ibrav = 0, nat = 5, ntyp = 3
/
ATOMIC_SPECIES
K 39.10 K.upf
Fe 55.84 Fe.upf
I 126.90 I.upf
CELL_PARAMETERS angstrom
-2.7252 2.7252 4.8208
2.7252 -2.7252 4.8208
2.7252 2.7252 -4.8208
ATOMIC_POSITIONS crystal
K 0.0000 0.0000 0.0000
Fe 0.3865 0.3865 0.0000
Fe 0.6135 0.6135 0.0000
I 0.2500 0.7500 0.5000
I 0.7500 0.2500 0.5000

No. 4
! NaYBiPd, relaxed, DFT PBE-GGA; values from VASP
! - Energy of formation: -0.496 eV per atom
! - Space-group type: F-43m
! - Magnetization: 0.00 μB per formula unit
&SYSTEM
  ibrav = 0, nat = 4, ntyp = 4
/
ATOMIC_SPECIES
Na 22.99 Na.upf
Y 88.91 Y.upf
Bi 208.98 Bi.upf
Pd 106.42 Pd.upf
CELL_PARAMETERS angstrom
0.0000 3.6466 3.6466
3.6466 0.0000 3.6466
3.6466 3.6466 0.0000
ATOMIC_POSITIONS crystal
Na 0.0000 0.0000 0.0000
Y 0.5000 0.5000 0.5000
Bi 0.2500 0.2500 0.2500
Pd 0.7500 0.7500 0.7500

No. 5
! Ga8PtRh2, relaxed, DFT PBE-GGA; values from VASP
! - Energy of formation: -0.344 eV per atom
! - Space-group type: C2/m
! - Magnetization: 0.00 μB per formula unit
&SYSTEM
  ibrav = 0, nat = 11, ntyp = 3
/
ATOMIC_SPECIES
Ga 69.72 Ga.upf
Pt 195.08 Pt.upf
Rh 102.91 Rh.upf
CELL_PARAMETERS angstrom
6.3216 -2.8362 0.0000
6.3216 2.8362 0.0000
-0.3743 0.0000 5.0471
ATOMIC_POSITIONS crystal
Ga 0.0872 0.0872 0.3901
Ga 0.1563 0.6631 0.1144
Ga 0.2996 0.2996 0.6379
Ga 0.3369 0.8437 0.8856
Ga 0.6631 0.1563 0.1144
Ga 0.7004 0.7004 0.3621
Ga 0.8437 0.3369 0.8856
Ga 0.9128 0.9128 0.6099
Pt 0.5000 0.5000 0.5000
Rh 0.2433 0.2433 0.1180
Rh 0.7567 0.7567 0.8820

No. 6
! OsSeBr3, relaxed, DFT PBE-GGA; values from VASP
! - Space-group type: Pm-3m
! - E_form (uncorrected): 17.53 kcal/mol of atoms
! - Magnetization: 0.00 μB per formula unit
&SYSTEM
  ibrav = 0, nat = 5, ntyp = 3
/
ATOMIC_SPECIES
Os 190.23 Os.upf
Se 78.96 Se.upf
Br 79.90 Br.upf
CELL_PARAMETERS angstrom
5.0126 0.0000 0.0000
0.0000 5.0126 0.0000
0.0000 0.0000 5.0126
ATOMIC_POSITIONS crystal
Os 0.0000 0.0000 0.0000
Se 0.5000 0.5000 0.5000
Br 0.0000 0.0000 0.5000
Br 0.0000 0.5000 0.0000
Br 0.5000 0.0000 0.0000

No. 7
! Pa2Co2NiN6, relaxed, DFT PBE-GGA; values from VASP
! - Space-group type: R-3m
! - E_form (uncorrected): -7.13 kcal/mol of atoms
! - Magnetization: 0.00 μB per formula unit
&SYSTEM
  ibrav = 0, nat = 11, ntyp = 4
/
ATOMIC_SPECIES
Pa 231.04 Pa.upf
Co 58.93 Co.upf
Ni 58.69 Ni.upf
N 14.01 N.upf
CELL_PARAMETERS angstrom
2.7276 1.5748 4.8295
-2.7276 1.5748 4.8295
0.0000 -3.1496 4.8295
ATOMIC_POSITIONS crystal
Pa 0.2199 0.2199 0.2199
Pa 0.7801 0.7801 0.7801
Co 0.4025 0.4025 0.4025
Co 0.5975 0.5975 0.5975
Ni 0.0000 0.0000 0.0000
N 0.2133 0.7578 0.7578
N 0.2422 0.2422 0.7867
N 0.2422 0.7867 0.2422
N 0.7578 0.2133 0.7578
N 0.7578 0.7578 0.2133
N 0.7867 0.2422 0.2422

No. 8
! LiZrAgRh, relaxed, DFT PBE-GGA; values from VASP
! - Energy of formation: -0.266 eV per atom
! - Space-group type: F-43m
! - Magnetization: 0.00 μB per formula unit
&SYSTEM
  ibrav = 0, nat = 4, ntyp = 4
/
ATOMIC_SPECIES
Li 6.94 Li.upf
Zr 91.22 Zr.upf
Ag 107.87 Ag.upf
Rh 102.91 Rh.upf
CELL_PARAMETERS angstrom
0.0000 3.2400 3.2400
3.2400 0.0000 3.2400
3.2400 3.2400 0.0000
ATOMIC_POSITIONS crystal
Li 0.0000 0.0000 0.0000
Zr 0.5000 0.5000 0.5000
Ag 0.7500 0.7500 0.7500
Rh 0.2500 0.2500 0.2500

No. 9
! GaP2Se, relaxed, DFT PBE-GGA; values from VASP
! - Space-group type: Fm-3m
! - E_form (uncorrected): 13.87 kcal/mol of atoms
! - Magnetization: 0.00 μB per formula unit
&SYSTEM
  ibrav = 0, nat = 4, ntyp = 3
/
ATOMIC_SPECIES
Ga 69.72 Ga.upf
P 30.97 P.upf
Se 78.96 Se.upf
CELL_PARAMETERS angstrom
0.0000 3.2481 3.2481
3.2481 0.0000 3.2481
3.2481 3.2481 0.0000
ATOMIC_POSITIONS crystal
Ga 0.0000 0.0000 0.0000
P 0.2500 0.2500 0.2500
P 0.7500 0.7500 0.7500
Se 0.5000 0.5000 0.5000

No. 10
! In2NiSb, relaxed, DFT PBE-GGA; values from VASP
! - Space-group type: Imm2
! - E_form (uncorrected): 0.05 kcal/mol of atoms
! - Magnetization: 0.00 μB per formula unit
&SYSTEM
  ibrav = 0, nat = 4, ntyp = 3
/
ATOMIC_SPECIES
In 114.82 In.upf
Ni 58.69 Ni.upf
Sb 121.76 Sb.upf
CELL_PARAMETERS angstrom
-1.6025 2.2216 6.3332
1.6025 -2.2216 6.3332
1.6025 2.2216 -6.3332
ATOMIC_POSITIONS crystal
In 0.0000 0.0000 0.0000
In 0.6781 0.1781 0.5000
Ni 0.4893 0.4893 0.0000
Sb 0.3215 0.8215 0.5000

No. 11
! Nd4Ni2N, relaxed, DFT PBE-GGA; values from VASP
! - Space-group type: I4/mmm
! - E_form (uncorrected): -9.16 kcal/mol of atoms
! - Magnetization: 0.00 μB per formula unit
&SYSTEM
  ibrav = 0, nat = 7, ntyp = 3
/
ATOMIC_SPECIES
Nd 144.24 Nd.upf
Ni 58.69 Ni.upf
N 14.01 N.upf
CELL_PARAMETERS angstrom
-2.4691 2.4691 6.8545
2.4691 -2.4691 6.8545
2.4691 2.4691 -6.8545
ATOMIC_POSITIONS crystal
Nd 0.0000 0.5000 0.5000
Nd 0.1862 0.1862 0.0000
Nd 0.5000 0.0000 0.5000
Nd 0.8138 0.8138 0.0000
Ni 0.3827 0.3827 0.0000
Ni 0.6173 0.6173 0.0000
N 0.0000 0.0000 0.0000

No. 12
! AcUO4, relaxed, DFT PBE-GGA; values from VASP
! - Space-group type: I4_1/a
! - E_form (uncorrected): -76.84 kcal/mol of atoms
! - Magnetization: 1.00 μB per formula unit
&SYSTEM
  ibrav = 0, nat = 12, ntyp = 3
/
ATOMIC_SPECIES
Ac 227.00 Ac.upf
U 238.03 U.upf
O 16.00 O.upf
CELL_PARAMETERS angstrom
-2.8454 2.8454 5.5878
2.8454 -2.8454 5.5878
2.8454 2.8454 -5.5878
ATOMIC_POSITIONS crystal
Ac 0.3750 0.1250 0.2500
Ac 0.6250 0.8750 0.7500
U 0.1250 0.3750 0.7500
U 0.8750 0.6250 0.2500
O 0.0113 0.2621 0.3051
O 0.2062 0.5113 0.2491
O 0.2379 0.0430 0.7491
O 0.4570 0.7062 0.1949
O 0.5430 0.2938 0.8051
O 0.7621 0.9570 0.2509
O 0.7938 0.4887 0.7509
O 0.9887 0.7379 0.6949